1.
Below is crystalline PrDyAgGe at its relaxed geometry, with properties calculated at the GGA-PBE level. Values from VASP.

Calculated values
The space-group type is No. 216. Its crystal system is cubic. For the energy of formation from the pure elements, the calculation gives -508 meV/atom.

The structure in Quantum ESPRESSO input format:
```
&SYSTEM
  ibrav = 0, nat = 4, ntyp = 4
/
ATOMIC_SPECIES
Pr 140.91 Pr.upf
Dy 162.50 Dy.upf
Ag 107.87 Ag.upf
Ge 72.64 Ge.upf
CELL_PARAMETERS angstrom
0.0000 3.6687 3.6687
3.6687 0.0000 3.6687
3.6687 3.6687 0.0000
ATOMIC_POSITIONS angstrom
Pr 0.0000 0.0000 0.0000
Dy 3.6687 3.6687 3.6687
Ag 1.8344 1.8344 1.8344
Ge 5.5031 5.5031 5.5031
```

=====

2.
Below is crystalline K2LaFeCl at its relaxed geometry, with properties calculated at the GGA-PBE level. Values from VASP.

Calculated values
As for the formation energy from raw total energies: 0.2831 eV/atom. The space-group type is No. 123. Its crystal system is tetragonal.

The structure in Quantum ESPRESSO input format:
```
&SYSTEM
  ibrav = 0, nat = 5, ntyp = 4
/
ATOMIC_SPECIES
K 39.10 K.upf
La 138.91 La.upf
Fe 55.84 Fe.upf
Cl 35.45 Cl.upf
CELL_PARAMETERS angstrom
6.9620 0.0000 0.0000
0.0000 6.9620 0.0000
0.0000 0.0000 4.3640
ATOMIC_POSITIONS angstrom
K 0.0000 3.4810 0.0000
K 3.4810 0.0000 0.0000
La 0.0000 0.0000 0.0000
Fe 0.0000 0.0000 2.1820
Cl 3.4810 3.4810 2.1820
```

=====

3.
Below is crystalline Tb2Pm7Mg2 at its relaxed geometry, with properties calculated at the GGA-PBE level. Values from VASP.

Calculated values
As for the energy above the most stable polymorph in this dataset: 0.0393 eV/atom. The space-group type is No. 12. Its crystal system is monoclinic. For the energy of formation from the pure elements, the calculation gives 177 meV/atom.

The structure in Quantum ESPRESSO input format:
```
&SYSTEM
  ibrav = 0, nat = 11, ntyp = 3
/
ATOMIC_SPECIES
Tb 158.93 Tb.upf
Pm 145.00 Pm.upf
Mg 24.30 Mg.upf
CELL_PARAMETERS angstrom
4.9124 -5.9458 0.0000
4.9124 5.9458 0.0000
-2.6689 0.0000 6.2135
ATOMIC_POSITIONS angstrom
Tb 4.9124 4.3098 0.0000
Tb 4.9124 -4.3098 0.0000
Pm -1.3344 0.0000 3.1067
Pm 2.3837 3.0050 1.8587
Pm 3.2338 0.0000 0.1302
Pm 4.7723 3.0050 4.3548
Pm 2.3837 -3.0050 1.8587
Pm 3.9222 0.0000 6.0833
Pm 4.7723 -3.0050 4.3548
Mg 1.9732 0.0000 3.2710
Mg 5.1828 0.0000 2.9425
```

=====

4.
Below is crystalline Zr12Sn6Pt at its relaxed geometry, with properties calculated at the GGA-PBE level. Values from VASP.

Calculated values
The space-group type is No. 148. Its crystal system is trigonal. For the energy of formation from the pure elements, the calculation gives -346 meV/atom.

The structure in Quantum ESPRESSO input format:
```
&SYSTEM
  ibrav = 0, nat = 19, ntyp = 3
/
ATOMIC_SPECIES
Zr 91.22 Zr.upf
Sn 118.71 Sn.upf
Pt 195.08 Pt.upf
CELL_PARAMETERS angstrom
5.3230 3.0733 4.3163
-5.3230 3.0733 4.3163
0.0000 -6.1465 4.3163
ATOMIC_POSITIONS angstrom
Zr -1.5050 -4.7453 5.4438
Zr -4.8621 -1.0693 7.5052
Zr -1.2590 -1.2463 3.9994
Zr -3.3571 3.6760 5.4438
Zr -0.4498 1.7135 3.9994
Zr 1.7088 -0.4671 3.9994
Zr -1.7088 0.4671 8.9496
Zr 0.4499 -1.7134 8.9496
Zr 3.3571 -3.6760 7.5052
Zr 1.2590 1.2463 8.9496
Zr 4.8620 1.0693 5.4438
Zr 1.5050 4.7453 7.5052
Sn -2.8370 0.7150 5.8843
Sn -2.0377 -2.0994 7.0647
Sn 0.7992 -2.8144 5.8843
Sn -0.7992 2.8144 7.0647
Sn 2.0377 2.0994 5.8843
Sn 2.8370 -0.7150 7.0647
Pt 0.0000 0.0000 6.4745
```

=====

no.,D(E_F) (states/eV/cell)
1,3.9
2,3.8
3,15.3
4,19.3